No. 1
Density functional theory data (GGA-PBE) for Na8AgBi2 after structural relaxation.

```
data_Na8AgBi2
_chemical_formula_sum 'Na16 Ag2 Bi4'
_cell_length_a 5.4869
_cell_length_b 7.4525
_cell_length_c 16.0980
_cell_angle_alpha 90.00
_cell_angle_beta 90.00
_cell_angle_gamma 90.00
_space_group_name_H-M_alt 'I m m m'
_space_group_IT_number 71
_space_group_name_Hall '-I 2 2'
loop_
_atom_site_label
_atom_site_type_symbol
_atom_site_fract_x
_atom_site_fract_y
_atom_site_fract_z
Na1 Na 0.0000 0.0000 0.1790
Na2 Na 0.0000 0.2358 0.3499
Na3 Na 0.0000 0.2673 0.0000
Ag1 Ag 0.0000 0.5000 0.5000
Bi1 Bi 0.0000 0.5000 0.1778
```

- Energy relative to the elements: -254 kJ/mol of formula units
- Crystal system: orthorhombic

=====

No. 2
Density functional theory data (GGA-PBE) for Cs3Li2IO6 after structural relaxation.

```
data_Cs3Li2IO6
_chemical_formula_sum 'Cs6 Li4 I2 O12'
_cell_length_a 6.1704
_cell_length_b 11.0687
_cell_length_c 6.6489
_cell_angle_alpha 90.00
_cell_angle_beta 102.82
_cell_angle_gamma 90.00
_space_group_name_H-M_alt 'C 1 2/m 1'
_space_group_IT_number 12
loop_
_space_group_symop_operation_xyz
'x,y,z'
'-x,-y,-z'
'-x,y,-z'
'x,-y,z'
'x+1/2,y+1/2,z'
'-x+1/2,-y+1/2,-z'
'-x+1/2,y+1/2,-z'
'x+1/2,-y+1/2,z'
loop_
_atom_site_label
_atom_site_type_symbol
_atom_site_fract_x
_atom_site_fract_y
_atom_site_fract_z
Cs1 Cs 0.0000 0.0000 0.0000
Cs2 Cs 0.0000 0.3183 0.0000
Li1 Li 0.0000 0.2277 0.5000
I1 I 0.0000 0.5000 0.5000
O1 O 0.1494 0.5000 0.2786
O2 O 0.1972 0.3699 0.6345
```

- Crystal system: monoclinic
- Formation energy (no corrections): -1115.4 meV per atom

=====

Number 1: D(E_F) 5.397 states/eV/cell, VASP energy -47.59 eV for the cell shown. Number 2: D(E_F) 0.000 states/eV/cell, VASP energy -102.14 eV for the cell shown.